# 1
Computed, not measured: a relaxed MnZnGeO4 crystal at the PBE+U level of DFT.

Output
As for the excess energy over the best structure of this formula in the dataset: 0 meV per atom. Its space group is Pnma (62). Its total energy is -6.356 eV per atom. The spin magnetization comes out at 0.714 μB per atom.

The structure in POSCAR format:
```
MnZnGeO4
1.0
10.869 0.000 0.000
0.000 6.268 0.000
0.000 0.000 5.035
Mn Zn Ge O
4 4 4 16
Direct
0.224 0.250 0.009
0.276 0.750 0.509
0.724 0.250 0.491
0.776 0.750 0.991
0.000 0.000 0.500
0.000 0.500 0.500
0.500 0.000 0.000
0.500 0.500 0.000
0.091 0.750 0.069
0.409 0.250 0.569
0.591 0.750 0.431
0.909 0.250 0.931
0.057 0.250 0.765
0.090 0.750 0.719
0.160 0.526 0.230
0.160 0.974 0.230
0.340 0.026 0.730
0.340 0.474 0.730
0.410 0.250 0.219
0.443 0.750 0.265
0.557 0.250 0.735
0.590 0.750 0.781
0.660 0.526 0.270
0.660 0.974 0.270
0.840 0.026 0.770
0.840 0.474 0.770
0.910 0.250 0.281
0.943 0.750 0.235
```


# 2
Computed, not measured: a relaxed MnZn2GeO6 crystal at the PBE+U level of DFT.

Output
Its space group is R3 (146). Its total energy is -5.830 eV per atom. The spin magnetization comes out at 0.299 μB per atom.

The structure in POSCAR format:
```
MnZn2GeO6
1.0
2.549 1.472 4.451
-2.549 1.472 4.451
0.000 -2.944 4.451
Mn Zn Ge O
1 2 1 6
Direct
0.000 0.000 0.000
0.218 0.218 0.218
0.719 0.719 0.719
0.498 0.498 0.498
0.134 0.378 0.772
0.275 0.872 0.631
0.378 0.772 0.134
0.631 0.275 0.872
0.772 0.134 0.378
0.872 0.631 0.275
```


# 3
Computed, not measured: a relaxed MnZnGe2O6 crystal at the PBE+U level of DFT.

Output
Its space group is C2/c (15). Its total energy is -6.404 eV per atom. The spin magnetization comes out at 0.500 μB per atom.

The structure in POSCAR format:
```
MnZnGe2O6
1.0
5.099 -4.827 0.000
5.099 4.827 0.000
-1.920 0.000 5.243
Mn Zn Ge O
2 2 4 12
Direct
0.103 0.897 0.750
0.897 0.103 0.250
0.232 0.768 0.250
0.768 0.232 0.750
0.220 0.390 0.774
0.390 0.220 0.274
0.610 0.780 0.726
0.780 0.610 0.226
0.037 0.202 0.652
0.140 0.628 0.896
0.202 0.037 0.152
0.318 0.409 0.514
0.372 0.860 0.604
0.409 0.318 0.014
0.591 0.682 0.986
0.628 0.140 0.396
0.682 0.591 0.486
0.798 0.963 0.848
0.860 0.372 0.104
0.963 0.798 0.348
```


# 4
Computed, not measured: a relaxed Mn2ZnGeO6 crystal at the PBE+U level of DFT.

Output
Its space group is R3 (146). Its total energy is -6.604 eV per atom. The spin magnetization comes out at 0.800 μB per atom.

The structure in POSCAR format:
```
Mn2ZnGeO6
1.0
2.545 1.469 4.742
-2.545 1.469 4.742
0.000 -2.938 4.742
Mn Zn Ge O
2 1 1 6
Direct
0.000 0.000 0.000
0.482 0.482 0.482
0.214 0.214 0.214
0.685 0.685 0.685
0.051 0.405 0.792
0.284 0.884 0.622
0.405 0.792 0.051
0.622 0.284 0.884
0.792 0.051 0.405
0.884 0.622 0.284
```


# 5
Computed, not measured: a relaxed MnZnGeO4 crystal at the PBE+U level of DFT.

Output
As for the excess energy over the best structure of this formula in the dataset: 3 meV per atom. Its space group is Cmcm (63). Its total energy is -6.353 eV per atom. The spin magnetization comes out at 0.714 μB per atom.

The structure in POSCAR format:
```
MnZnGeO4
1.0
2.946 -4.556 0.000
2.946 4.556 0.000
0.000 0.000 6.318
Mn Zn Ge O
2 2 2 8
Direct
0.000 0.000 0.000
0.000 0.000 0.500
0.340 0.660 0.750
0.660 0.340 0.250
0.352 0.648 0.250
0.648 0.352 0.750
0.240 0.760 0.022
0.240 0.760 0.478
0.253 0.285 0.250
0.285 0.253 0.750
0.715 0.747 0.250
0.747 0.715 0.750
0.760 0.240 0.522
0.760 0.240 0.978
```


# 6
Computed, not measured: a relaxed ZrMnGe2O8 crystal at the PBE+U level of DFT.

Output
Its space group is I-4m2 (119). Its total energy is -7.189 eV per atom. The spin magnetization comes out at 0.248 μB per atom.

The structure in POSCAR format:
```
ZrMnGe2O8
1.0
-3.333 3.333 3.218
3.333 -3.333 3.218
3.333 3.333 -3.218
Zr Mn Ge O
1 1 2 8
Direct
0.000 0.000 0.000
0.250 0.750 0.500
0.500 0.500 0.000
0.750 0.250 0.500
0.304 0.114 0.809
0.304 0.495 0.191
0.373 0.065 0.308
0.505 0.696 0.809
0.757 0.065 0.692
0.886 0.696 0.191
0.935 0.243 0.308
0.935 0.627 0.692
```